Entry 1:
This record from Alexandria describes a relaxed structure of RbCdBr2F. The functional is PBE.

Cell: 5.6577 5.6577 4.4506 Å, 90.00 90.00 90.00°
With the nearest neighbours (Å) after each atom.
Positions (direct):
F1 0.0000 0.0000 0.5000  2 Cd 2.23
Rb1 0.5000 0.5000 0.5000  8 Br 3.60, 4 F 4.00
Cd1 0.0000 0.0000 0.0000  2 F 2.23
Br1 0.0000 0.5000 0.0000  2 Cd 2.83
Br2 0.5000 0.0000 0.0000  2 Cd 2.83

Excess energy over the best structure of this formula in the dataset in meV/atom: 40
Density of states at the Fermi level in states/eV/cell: 0.00
Formation energy from raw total energies in meV/atom: -1592

---

Entry 2:
This record from Alexandria describes a relaxed structure of RbCdBr2F. The functional is PBE.

Cell: 4.2305 8.0464 9.9141 Å, 111.13 90.00 90.00°
With the nearest neighbours (Å) after each atom.
Positions (direct):
Br1 0.7500 0.7835 0.9782  3 Cd 2.80-2.90
Br2 0.2500 0.2165 0.0218  3 Cd 2.80-2.90
Rb1 0.2500 0.6280 0.3796  3 F 2.71-2.87
Br3 0.2500 0.0487 0.3408  2 Cd 2.83
Br4 0.7500 0.9513 0.6592  2 Cd 2.83
Cd1 0.2500 0.8705 0.8144  1 F 2.20
Rb2 0.7500 0.3720 0.6204  3 F 2.71-2.87
F1 0.2500 0.5950 0.6583  1 Cd 2.20
F2 0.7500 0.4050 0.3417  1 Cd 2.20
Cd2 0.7500 0.1295 0.1856  1 F 2.20

Excess energy over the best structure of this formula in the dataset in meV/atom: 0
Density of states at the Fermi level in states/eV/cell: 0.00
Formation energy from raw total energies in meV/atom: -1632